Entry a
Entry from Alexandria: a relaxed structure of MgAlAu4 (PBE-GGA).

Cell lengths 4.235, 4.237, 6.651 Å; angles 89.99, 90.00, 90.01 degrees
Element x y z (fractional)
Al (0.001, 0.997, 0.498)
Au (0.501, 0.997, 0.264)
Au (0.501, 0.997, 0.732)
Au (0.001, 0.497, 0.732)
Au (0.001, 0.497, 0.265)
Mg (0.501, 0.497, 0.998)

Results
- Fermi-level density of states: 2.250 states/eV per cell

Entry b
Entry from Alexandria: a relaxed structure of MgAlAu4 (PBE-GGA).

Cell lengths 5.502, 5.502, 5.502 Å; angles 60.00, 60.00, 60.00 degrees
Element x y z (fractional)
Mg (0.750, 0.750, 0.750)
Au (0.375, 0.375, 0.875)
Au (0.375, 0.875, 0.375)
Au (0.375, 0.375, 0.375)
Au (0.875, 0.375, 0.375)
Al (0.000, 0.000, 0.000)

Results
- Fermi-level density of states: 3.563 states/eV per cell

So which one is most stable? That would be entry a, about 192 meV per atom below the next structure.

Entry a
Entry from Alexandria: a relaxed structure of MgAl2Au6 (PBE-GGA).

Cell lengths 4.277, 6.886, 7.213 Å; angles 118.51, 107.05, 90.00 degrees
Element x y z (fractional)
Au (0.500, 0.727, 0.000)
Au (0.834, 0.553, 0.666)
Au (0.834, 0.113, 0.666)
Au (0.166, 0.447, 0.334)
Au (0.166, 0.887, 0.334)
Au (0.500, 0.273, 0.000)
Al (0.683, 0.684, 0.367)
Al (0.317, 0.316, 0.633)
Mg (0.000, 0.000, 0.000)

Results
- Fermi-level density of states: 3.427 states/eV per cell

Entry b
Entry from Alexandria: a relaxed structure of MgAl2Au6 (PBE-GGA).

Cell lengths 5.112, 8.006, 8.006 Å; angles 74.30, 86.18, 86.18 degrees
Element x y z (fractional)
Au (0.308, 0.749, 0.018)
Au (0.992, 0.423, 0.682)
Au (0.676, 0.102, 0.355)
Au (0.492, 0.682, 0.423)
Au (0.508, 0.318, 0.577)
Au (0.824, 0.645, 0.898)
Au (0.324, 0.898, 0.645)
Au (0.808, 0.018, 0.749)
Au (0.008, 0.577, 0.318)
Au (0.192, 0.982, 0.251)
Au (0.176, 0.355, 0.102)
Au (0.692, 0.251, 0.982)
Al (0.403, 0.544, 0.786)
Al (0.903, 0.786, 0.544)
Al (0.097, 0.214, 0.456)
Al (0.597, 0.456, 0.214)
Mg (0.750, 0.886, 0.114)
Mg (0.250, 0.114, 0.886)

Results
- Fermi-level density of states: 4.690 states/eV per cell

So which one is most stable? That would be entry b, about 28 meV per atom below the next structure.

Entry a
Entry from Alexandria: a relaxed structure of Mg3Al2Au4 (PBE-GGA).

Cell lengths 4.603, 4.593, 9.375 Å; angles 102.12, 90.00, 120.07 degrees
Element x y z (fractional)
Mg (0.607, 0.214, 0.784)
Mg (0.000, 0.000, 0.000)
Mg (0.393, 0.786, 0.216)
Au (0.912, 0.823, 0.670)
Au (0.088, 0.177, 0.330)
Au (0.304, 0.608, 0.900)
Au (0.696, 0.392, 0.100)
Al (0.227, 0.455, 0.605)
Al (0.773, 0.545, 0.395)

Results
- Fermi-level density of states: 2.693 states/eV per cell

Entry b
Entry from Alexandria: a relaxed structure of Mg3Al2Au4 (PBE-GGA).

Cell lengths 4.477, 5.655, 8.435 Å; angles 120.55, 90.00, 113.32 degrees
Element x y z (fractional)
Mg (0.654, 0.308, 0.685)
Mg (0.346, 0.692, 0.315)
Mg (0.000, 0.000, 0.000)
Al (0.366, 0.733, 0.694)
Al (0.634, 0.267, 0.306)
Au (0.703, 0.406, 0.062)
Au (0.933, 0.866, 0.611)
Au (0.297, 0.594, 0.938)
Au (0.067, 0.134, 0.389)

Results
- Fermi-level density of states: 2.085 states/eV per cell

So which one is most stable? That would be entry a, about 20 meV per atom below the next structure.

Entry a
Entry from Alexandria: a relaxed structure of MgAl3Au (PBE-GGA).

Cell lengths 4.927, 4.927, 4.927 Å; angles 90.00, 90.00, 90.00 degrees
Element x y z (fractional)
Al (0.500, 0.000, 0.000)
Al (0.000, 0.000, 0.500)
Al (0.000, 0.500, 0.000)
Mg (0.500, 0.500, 0.500)
Au (0.000, 0.000, 0.000)

Results
- Fermi-level density of states: 2.624 states/eV per cell

Entry b
Entry from Alexandria: a relaxed structure of MgAl3Au (PBE-GGA).

Cell lengths 5.173, 5.413, 6.980 Å; angles 90.00, 111.41, 90.00 degrees
Element x y z (fractional)
Al (0.853, 0.448, 0.189)
Al (0.320, 0.202, 0.089)
Al (0.715, 0.194, 0.472)
Al (0.715, 0.702, 0.472)
Al (0.320, 0.694, 0.089)
Al (0.181, 0.948, 0.372)
Mg (0.300, 0.448, 0.639)
Mg (0.734, 0.948, 0.922)
Au (0.876, 0.448, 0.823)
Au (0.159, 0.948, 0.738)

Results
- Fermi-level density of states: 2.811 states/eV per cell

So which one is most stable? That would be entry b, about 493 meV per atom below the next structure.

Entry a
Entry from Alexandria: a relaxed structure of Mn2AlAu2 (PBE-GGA).

Cell lengths 7.086, 7.086, 3.455 Å; angles 90.00, 90.00, 90.00 degrees
Element x y z (fractional)
Mn (0.342, 0.158, 0.500)
Mn (0.158, 0.658, 0.500)
Mn (0.842, 0.342, 0.500)
Mn (0.658, 0.842, 0.500)
Au (0.857, 0.643, 0.000)
Au (0.143, 0.357, 0.000)
Au (0.357, 0.857, 0.000)
Au (0.643, 0.143, 0.000)
Al (0.500, 0.500, 0.000)
Al (0.000, 0.000, 0.000)

Results
- Fermi-level density of states: 5.379 states/eV per cell

Entry b
Entry from Alexandria: a relaxed structure of Mn2AlAu2 (PBE-GGA).

Cell lengths 7.208, 7.208, 3.343 Å; angles 90.00, 90.00, 90.00 degrees
Element x y z (fractional)
Au (0.649, 0.851, 0.500)
Au (0.351, 0.149, 0.500)
Au (0.149, 0.649, 0.500)
Au (0.851, 0.351, 0.500)
Al (0.500, 0.500, 0.000)
Al (0.000, 0.000, 0.000)
Mn (0.647, 0.147, 0.000)
Mn (0.353, 0.853, 0.000)
Mn (0.147, 0.353, 0.000)
Mn (0.853, 0.647, 0.000)

Results
- Fermi-level density of states: 5.811 states/eV per cell

So which one is most stable? That would be entry a, about 113 meV per atom below the next structure.

Entry a
Entry from Alexandria: a relaxed structure of MnAlAu4 (PBE-GGA).

Cell lengths 3.283, 7.197, 9.332 Å; angles 90.00, 100.13, 90.00 degrees
Element x y z (fractional)
Au (0.567, 0.290, 0.134)
Au (0.307, 0.563, 0.613)
Au (0.048, 0.625, 0.096)
Au (0.681, 0.670, 0.362)
Au (0.693, 0.063, 0.387)
Au (0.952, 0.125, 0.904)
Au (0.433, 0.790, 0.866)
Au (0.319, 0.170, 0.638)
Al (0.434, 0.420, 0.868)
Al (0.566, 0.920, 0.132)
Mn (0.183, 0.364, 0.367)
Mn (0.817, 0.864, 0.633)

Results
- Fermi-level density of states: 4.645 states/eV per cell

Entry b
Entry from Alexandria: a relaxed structure of MnAlAu4 (PBE-GGA).

Cell lengths 4.302, 4.331, 7.596 Å; angles 74.36, 73.55, 60.22 degrees
Element x y z (fractional)
Au (0.879, 0.879, 0.364)
Au (0.121, 0.121, 0.636)
Au (0.374, 0.373, 0.878)
Au (0.626, 0.627, 0.122)
Al (0.000, 0.000, 0.000)
Mn (0.500, 0.500, 0.500)

Results
- Fermi-level density of states: 2.155 states/eV per cell

So which one is most stable? That would be entry a, about 23 meV per atom below the next structure.